Below is a relaxed SrBi2P2 crystal, with properties calculated at the PBE level.

Cell lengths 6.322, 6.322, 6.322 Å; angles 128.75, 128.75, 75.41 degrees
Sites, in units of the cell vectors:
Sr (0.000, 0.000, 0.000)
Bi (0.338, 0.338, 0.000)
Bi (0.662, 0.662, 0.000)
P (0.250, 0.750, 0.500)
P (0.750, 0.250, 0.500)

Computed properties:
* E above lowest polymorph: 0.097 eV per atom
* energy relative to the elements: -0.1430 eV/atom
* total magnetization: 0.000 Bohr magnetons per cell
* crystal system: tetragonal
* E: -4.20 eV per atom

---

Below is a relaxed RbAuSe crystal, with properties calculated at the PBE level.

Cell lengths 6.626, 6.626, 6.626 Å; angles 145.65, 145.65, 49.37 degrees
Sites, in units of the cell vectors:
Rb (0.000, 0.000, 0.000)
Au (0.264, 0.264, 0.000)
Se (0.733, 0.733, 0.000)

Computed properties:
* uncorrected formation energy: -359 meV per atom
* total magnetization: 0.000 Bohr magnetons per cell
* crystal system: tetragonal
* E: -2.94 eV per atom

---

Below is a relaxed Nd4DyHoEr2 crystal, with properties calculated at the PBE level.

Cell lengths 6.246, 3.614, 11.830 Å; angles 90.00, 100.24, 90.00 degrees
Sites, in units of the cell vectors:
Nd (0.249, 0.000, 0.249)
Nd (0.251, 0.500, 0.750)
Nd (0.749, 0.500, 0.250)
Nd (0.751, 0.000, 0.751)
Dy (0.500, 0.500, 0.500)
Ho (0.500, 0.000, 0.000)
Er (0.000, 0.000, 0.500)
Er (0.000, 0.500, 0.000)

Computed properties:
* energy relative to the elements: 0.0155 eV/atom
* total magnetization: 0.000 Bohr magnetons per cell
* crystal system: monoclinic
* E: -4.66 eV per atom